DFT (GGA-PBE) results for a relaxed structure of HfZr3Ge2.

The structure in extended XYZ format:
```
6
Lattice="4.3489 -4.7324 1.7580 -0.8668 -5.3520 0.4095 3.8963 -2.2251 -3.0453" Properties=species:S:1:pos:R:3 pbc="T T T"
Hf 3.7541 -4.9235 -1.2556
Zr 3.6243 -7.3862 0.3779
Zr 0.5556 -5.6014 0.1439
Zr 6.8230 -6.7057 -1.0233
Ge 5.5338 -9.2334 -0.6575
Ge 1.8446 -3.0786 -0.2187
```

Values from the calculation:
- VASP energy: -49.1 eV per cell
- Symmetry: Fmm2, No. 42